KTbSnWO6: relaxed, PBE with a Hubbard U.

```
KTbSnWO6
1.0
5.9485 0.0000 0.0000
0.0000 5.9485 0.0000
0.0000 0.0000 8.3865
K Tb Sn W O
2 2 2 2 12
Cartesian
0.0000 0.0000 2.0966
0.0000 0.0000 6.2899
0.0000 2.9743 0.0000
2.9743 0.0000 4.1933
2.9743 2.9743 2.0966
2.9743 2.9743 6.2899
0.0000 2.9743 4.1933
2.9743 0.0000 0.0000
0.0000 2.9743 2.2471
0.0000 2.9743 6.1394
1.4225 1.6316 4.1933
1.4225 4.3169 4.1933
1.6316 1.4225 0.0000
1.6316 4.5261 0.0000
2.9743 0.0000 1.9462
2.9743 0.0000 6.4403
4.3169 1.4225 0.0000
4.3169 4.5261 0.0000
4.5261 1.6316 4.1933
4.5261 4.3169 4.1933
```

Properties
Space group   No. 131
ΔE to the lowest computed polymorph   0.0 meV per atom